1.
# LaIO2F, optimized geometry, DFT PBE
# VASP energy = -23.41 eV per formula unit
# space-group type = P4/mmm (123)
data_LaIO2F
_chemical_formula_sum 'La1 I1 O2 F1'
_space_group_name_H-M_alt 'P 1'
_space_group_IT_number 1
_cell_length_a 4.207
_cell_length_b 4.207
_cell_length_c 5.409
_cell_angle_alpha 90.00
_cell_angle_beta 90.00
_cell_angle_gamma 90.00
loop_
_space_group_symop_operation_xyz
'x,y,z'
loop_
_atom_site_label
_atom_site_fract_x
_atom_site_fract_y
_atom_site_fract_z
La1 0.000 0.000 0.000
I1 0.500 0.500 0.500
O1 0.000 0.500 0.500
O2 0.500 0.000 0.500
F1 0.500 0.500 0.000


2.
# ZrPaCu4, optimized geometry, DFT PBE
# energy of formation = 0.08 eV per atom
# space-group type = I-4m2 (119)
# ΔE to the lowest computed polymorph = 12.1 kJ/mol of atoms
data_ZrPaCu4
_chemical_formula_sum 'Zr2 Pa2 Cu8'
_space_group_name_H-M_alt 'P 1'
_space_group_IT_number 1
_cell_length_a 3.705
_cell_length_b 3.705
_cell_length_c 15.305
_cell_angle_alpha 90.00
_cell_angle_beta 90.00
_cell_angle_gamma 90.00
loop_
_space_group_symop_operation_xyz
'x,y,z'
loop_
_atom_site_label
_atom_site_fract_x
_atom_site_fract_y
_atom_site_fract_z
Zr1 0.000 0.000 0.000
Zr2 0.500 0.500 0.500
Pa1 0.000 0.500 0.250
Pa2 0.500 0.000 0.750
Cu1 0.000 0.000 0.423
Cu2 0.000 0.000 0.577
Cu3 0.000 0.500 0.670
Cu4 0.000 0.500 0.830
Cu5 0.500 0.000 0.170
Cu6 0.500 0.000 0.330
Cu7 0.500 0.500 0.077
Cu8 0.500 0.500 0.923


3.
# BaEuAg, optimized geometry, DFT PBE
# energy of formation = -0.16 eV per atom
# space-group type = I4mm (107)
# ΔE to the lowest computed polymorph = 0.0 kJ/mol of atoms
data_BaEuAg
_chemical_formula_sum 'Ba2 Eu2 Ag2'
_space_group_name_H-M_alt 'P 1'
_space_group_IT_number 1
_cell_length_a 4.027
_cell_length_b 4.027
_cell_length_c 14.164
_cell_angle_alpha 90.00
_cell_angle_beta 90.00
_cell_angle_gamma 90.00
loop_
_space_group_symop_operation_xyz
'x,y,z'
loop_
_atom_site_label
_atom_site_fract_x
_atom_site_fract_y
_atom_site_fract_z
Ba1 0.000 0.000 0.000
Ba2 0.500 0.500 0.500
Eu1 0.000 0.000 0.268
Eu2 0.500 0.500 0.768
Ag1 0.000 0.000 0.650
Ag2 0.500 0.500 0.150


4.
# Y2Tm2Ga4Ni, optimized geometry, DFT PBE
# energy of formation = -0.39 eV per atom
# space-group type = I4/mmm (139)
data_Y2Tm2Ga4Ni
_chemical_formula_sum 'Y2 Tm2 Ga4 Ni1'
_space_group_name_H-M_alt 'P 1'
_space_group_IT_number 1
_cell_length_a 6.426
_cell_length_b 6.426
_cell_length_c 6.426
_cell_angle_alpha 114.66
_cell_angle_beta 114.66
_cell_angle_gamma 99.52
loop_
_space_group_symop_operation_xyz
'x,y,z'
loop_
_atom_site_label
_atom_site_fract_x
_atom_site_fract_y
_atom_site_fract_z
Y1 0.194 0.194 0.000
Y2 0.806 0.806 0.000
Tm1 0.250 0.750 0.500
Tm2 0.750 0.250 0.500
Ga1 0.261 0.261 0.523
Ga2 0.261 0.739 0.000
Ga3 0.739 0.261 0.000
Ga4 0.739 0.739 0.477
Ni1 0.500 0.500 0.000


5.
# Zr5Bi2B2, optimized geometry, DFT PBE
# energy of formation = -0.38 eV per atom
# space-group type = Cmce (64)
data_Zr5Bi2B2
_chemical_formula_sum 'Zr10 Bi4 B4'
_space_group_name_H-M_alt 'P 1'
_space_group_IT_number 1
_cell_length_a 8.137
_cell_length_b 8.137
_cell_length_c 6.944
_cell_angle_alpha 90.00
_cell_angle_beta 90.00
_cell_angle_gamma 50.85
loop_
_space_group_symop_operation_xyz
'x,y,z'
loop_
_atom_site_label
_atom_site_fract_x
_atom_site_fract_y
_atom_site_fract_z
Zr1 0.000 0.000 0.000
Zr2 0.064 0.720 0.678
Zr3 0.220 0.564 0.178
Zr4 0.280 0.936 0.678
Zr5 0.436 0.780 0.178
Zr6 0.500 0.500 0.500
Zr7 0.564 0.220 0.822
Zr8 0.720 0.064 0.322
Zr9 0.780 0.436 0.822
Zr10 0.936 0.280 0.322
Bi1 0.219 0.219 0.000
Bi2 0.281 0.281 0.500
Bi3 0.719 0.719 0.500
Bi4 0.781 0.781 0.000
B1 0.100 0.900 0.402
B2 0.400 0.600 0.902
B3 0.600 0.400 0.098
B4 0.900 0.100 0.598


6.
# NbBr3N, optimized geometry, DFT PBE
# space-group type = Pm-3m (221)
# ΔE to the lowest computed polymorph = 0.0 kJ/mol of atoms
data_NbBr3N
_chemical_formula_sum 'Nb1 Br3 N1'
_space_group_name_H-M_alt 'P 1'
_space_group_IT_number 1
_cell_length_a 5.220
_cell_length_b 5.220
_cell_length_c 5.220
_cell_angle_alpha 90.00
_cell_angle_beta 90.00
_cell_angle_gamma 90.00
loop_
_space_group_symop_operation_xyz
'x,y,z'
loop_
_atom_site_label
_atom_site_fract_x
_atom_site_fract_y
_atom_site_fract_z
Nb1 0.000 0.000 0.000
Br1 0.000 0.000 0.500
Br2 0.000 0.500 0.000
Br3 0.500 0.000 0.000
N1 0.500 0.500 0.500


How do the records compare in magnetic moment? In the order shown, they have 0.6 0.0 7.6 0.0 0.0 3.9 μB/f.u..
How do the records compare in DOS(E_F)? In the order shown, they have 3.78 14.33 19.92 7.10 14.78 3.50 states/eV per cell.